The following is a SCAN calculation of a crystal of GeSb2TeAu relaxed with PBEsol, from Alexandria.

Properties
DOS(E_F)	3.769	states/eV/cell
magnetic moment	0.00	μB per formula unit
uncorrected formation energy	867	meV/atom
E	-39.136	eV per atom

a = 5.2169 Å, b = 5.2169 Å, c = 5.2522 Å
α = 90.00°, β = 90.00°, γ = 90.00°
Space group P4/mmm (No. 123)
Symmetry-distinct sites (fractional):
Ge 0.0000 0.0000 0.0000 (multiplicity 1)
Sb 0.0000 0.5000 0.0000 (multiplicity 2)
Te 0.0000 0.0000 0.5000 (multiplicity 1)
Au 0.5000 0.5000 0.5000 (multiplicity 1)



The following is a SCAN calculation of a crystal of Sc2Ge2Au relaxed with PBEsol, from Alexandria.

Properties
DOS(E_F)	4.607	states/eV/cell
formation energy	-0.8813	eV/atom
magnetic moment	0.00	μB per formula unit
E	-28.043	eV per atom

a = 6.7046 Å, b = 6.7046 Å, c = 4.0021 Å
α = 90.00°, β = 90.00°, γ = 90.00°
Space group P4/mbm (No. 127)
Symmetry-distinct sites (fractional):
Sc 0.1717 0.3283 0.0000 (multiplicity 4)
Ge 0.1312 0.6312 0.5000 (multiplicity 4)
Au 0.0000 0.0000 0.5000 (multiplicity 2)



The following is a SCAN calculation of a crystal of ScTi2GeAu relaxed with PBEsol, from Alexandria.

Properties
DOS(E_F)	5.874	states/eV/cell
formation energy	0.1176	eV/atom
magnetic moment	0.00	μB per formula unit
E	-26.791	eV per atom

a = 4.6389 Å, b = 4.6389 Å, c = 4.8545 Å
α = 90.00°, β = 90.00°, γ = 90.00°
Space group P4/mmm (No. 123)
Symmetry-distinct sites (fractional):
Sc 0.0000 0.0000 0.0000 (multiplicity 1)
Ti 0.0000 0.5000 0.5000 (multiplicity 2)
Ge 0.0000 0.0000 0.5000 (multiplicity 1)
Au 0.5000 0.5000 0.0000 (multiplicity 1)



The following is a SCAN calculation of a crystal of TiGeAu2Se relaxed with PBEsol, from Alexandria.

Properties
DOS(E_F)	3.885	states/eV/cell
magnetic moment	1.40	μB per formula unit
uncorrected formation energy	761	meV/atom
E	-37.941	eV per atom

a = 4.8458 Å, b = 4.8458 Å, c = 4.9845 Å
α = 90.00°, β = 90.00°, γ = 90.00°
Space group P4/mmm (No. 123)
Symmetry-distinct sites (fractional):
Ti 0.0000 0.0000 0.0000 (multiplicity 1)
Ge 0.0000 0.0000 0.5000 (multiplicity 1)
Au 0.0000 0.5000 0.0000 (multiplicity 2)
Se 0.5000 0.5000 0.5000 (multiplicity 1)



The following is a SCAN calculation of a crystal of ZrGeAuSe2 relaxed with PBEsol, from Alexandria.

Properties
DOS(E_F)	2.385	states/eV/cell
magnetic moment	0.00	μB per formula unit
uncorrected formation energy	-9	meV/atom
E	-31.829	eV per atom

a = 5.0738 Å, b = 5.0738 Å, c = 5.1835 Å
α = 90.00°, β = 90.00°, γ = 90.00°
Space group P4/mmm (No. 123)
Symmetry-distinct sites (fractional):
Zr 0.0000 0.0000 0.0000 (multiplicity 1)
Ge 0.5000 0.5000 0.5000 (multiplicity 1)
Au 0.0000 0.0000 0.5000 (multiplicity 1)
Se 0.0000 0.5000 0.0000 (multiplicity 2)



The following is a SCAN calculation of a crystal of Si2Ge2Au relaxed with PBEsol, from Alexandria.

Properties
DOS(E_F)	3.749	states/eV/cell
magnetic moment	0.00	μB per formula unit
uncorrected formation energy	377	meV/atom
E	-25.096	eV per atom

a = 3.4186 Å, b = 3.4186 Å, c = 14.9589 Å
α = 90.00°, β = 90.00°, γ = 90.00°
Space group I4/mmm (No. 139)
Symmetry-distinct sites (fractional):
Si 0.0000 0.5000 0.2500 (multiplicity 4)
Ge 0.0000 0.0000 0.1020 (multiplicity 4)
Au 0.0000 0.0000 0.5000 (multiplicity 2)